Entry 1:
Here is a geometry-optimized Nd2CdRhO5 structure from Alexandria via LeMat-Bulk. Energies are from PBE.

The uncorrected formation energy comes out at -1.957 eV per atom. The total energy comes out at -6.689 eV per atom.

The structure belongs to space group P4/mbm (No. 127); the cell edges are 6.804, 6.804 and 5.768 Å and the angles 90.00°, 90.00° and 90.00°. The inequivalent atoms are Nd at (0.173, 0.327, 0.000), Cd at (0.000, 0.000, 0.500), Rh at (0.000, 0.500, 0.500), O at (0.000, 0.000, 0.000) and O at (0.140, 0.640, 0.249).

Entry 2:
Here is a geometry-optimized Nd2CdRhO6 structure from Alexandria via LeMat-Bulk. Energies are from PBE.

The uncorrected formation energy comes out at -2.097 eV per atom. The total energy comes out at -6.852 eV per atom.

The structure belongs to space group P2_1/c (No. 14); the cell edges are 5.582, 6.011 and 9.813 Å and the angles 90.00°, 124.62° and 90.00°. The inequivalent atoms are Nd at (0.225, 0.072, 0.248), Cd at (0.000, 0.000, 0.500), Rh at (0.500, 0.000, 0.000), O at (0.144, 0.178, 0.943), O at (0.261, 0.712, 0.929) and O at (0.394, 0.053, 0.767).

Entry 3:
Here is a geometry-optimized NdCdS2O8 structure from Alexandria via LeMat-Bulk. Energies are from PBE.

The uncorrected formation energy comes out at -1.701 eV per atom. The total energy comes out at -6.168 eV per atom.

The structure belongs to space group P-3m1 (No. 164); the cell edges are 5.2416, 5.2416 and 8.1429 Å and the angles 90.00°, 90.00° and 120.00°. The inequivalent atoms are Nd at (0.0000, 0.0000, 0.0000), Cd at (0.0000, 0.0000, 0.5000), S at (0.3333, 0.6667, 0.1757), O at (0.1777, 0.3553, 0.2336) and O at (0.3333, 0.6667, 0.9914).